Entry 1:
## CeY6Ho3Tm2 (PBE-GGA)

Data for a relaxed structure of CeY6Ho3Tm2.

Results
V: 756.8 Å³ per cell
Total energy: -5.575 eV/atom
ρ: 6.6 Mg/m³

a b c (Å): 6.1438 10.6350 11.7618
angles (deg): 90.00 100.01 90.00
With the nearest neighbours (Å) after each atom.
Space group C2/m (No. 12)
Inequivalent atoms, fractional coordinates:
1 Ce 0.0000 0.0000 0.0000 x2  6 Y 3.54, 6 Tm 3.55
2 Y 0.2486 0.0000 0.7505 x4  6 Y 3.53-3.55, 1 Ce 3.54, 2 Tm 3.54, 3 Ho 3.55-3.56
3 Y 0.2493 0.1659 0.2494 x8  6 Y 3.53-3.55, 1 Ce 3.54, 2 Tm 3.54, 3 Ho 3.55
4 Ho 0.0000 0.1675 0.5000 x4  6 Ho 3.54-3.56, 6 Y 3.55
5 Ho 0.0000 0.5000 0.5000 x2  6 Ho 3.54-3.55, 6 Y 3.55-3.56
6 Tm 0.0000 0.3334 0.0000 x4  6 Y 3.54, 3 Tm 3.54-3.55, 3 Ce 3.55



Entry 2:
## CsSb2Se3 (PBE-GGA)

Data for a relaxed structure of CsSb2Se3.

Results
V: 468.4 Å³ per cell
Energy relative to the lowest polymorph listed for this composition: 0 meV per atom
Uncorrected formation energy: -0.49 eV per atom
Total energy: -3.753 eV/atom
ρ: 4.3 Mg/m³

a b c (Å): 7.6088 8.1095 8.7699
angles (deg): 63.58 80.15 75.69
With the nearest neighbours (Å) after each atom.
Space group P-1 (No. 2)
Inequivalent atoms, fractional coordinates:
1 Cs 0.2298 0.0588 0.2154 x2  5 Se 3.71-3.90, 1 Sb 4.08
2 Sb 0.1963 0.4372 0.5246 x2  2 Se 2.52-2.67
3 Sb 0.4217 0.6379 0.7727 x2  3 Se 2.62-2.67
4 Se 0.1337 0.5005 0.8048 x2  2 Sb 2.62-2.67
5 Se 0.2172 0.0883 0.6354 x2  1 Sb 2.52
6 Se 0.3398 0.6731 0.0630 x2  2 Sb 2.64-2.67